(one)
Crystalline Ca3LaSi at its relaxed geometry, computed with PBE.

Unit cell a=5.727 b=5.727 c=5.727 alpha=90.00 beta=90.00 gamma=90.00
Fractional positions:
Ca  0.000  0.000  0.500
Ca  0.000  0.500  0.000
Ca  0.500  0.000  0.000
La  0.500  0.500  0.500
Si  0.000  0.000  0.000

## Properties
Space group: No. 221
Crystal system: cubic

(two)
Crystalline Ca3LaSi at its relaxed geometry, computed with PBE.

Unit cell a=5.711 b=5.711 c=5.711 alpha=90.00 beta=90.00 gamma=90.00
Fractional positions:
Ca  0.000  0.000  0.500
Ca  0.000  0.500  0.000
Ca  0.500  0.000  0.000
La  0.000  0.000  0.000
Si  0.500  0.500  0.500

## Properties
Space group: No. 221
Crystal system: cubic

Most stable structure - (one); separation to the second - 1168 meV/atom.